# 1
Material: CdSn2Mo2
Method: DFT, PBE-GGA
State: relaxed

Cell lengths 7.9100, 7.9100, 3.2208 Å; angles 90.00, 90.00, 90.00 degrees
Sites, in units of the cell vectors:
Mo: 0.1388 0.6388 0.5000
Mo: 0.6388 0.8612 0.5000
Mo: 0.8612 0.3612 0.5000
Mo: 0.3612 0.1388 0.5000
Sn: 0.3465 0.8465 0.0000
Sn: 0.8465 0.6535 0.0000
Sn: 0.6535 0.1535 0.0000
Sn: 0.1535 0.3465 0.0000
Cd: 0.0000 0.0000 0.0000
Cd: 0.5000 0.5000 0.0000

Properties
* space-group type: No. 127
* ΔE_f: 0.47 eV per atom
* ΔE to the lowest computed polymorph: 4.24 kcal/mol of atoms

***

# 2
Material: VN2Cl6
Method: DFT, PBE-GGA
State: relaxed

Cell lengths 6.9494, 6.9494, 6.9494 Å; angles 60.00, 60.00, 60.00 degrees
Sites, in units of the cell vectors:
V: 0.0000 0.0000 0.0000
N: 0.7500 0.7500 0.7500
N: 0.2500 0.2500 0.2500
Cl: 0.2302 0.7698 0.7698
Cl: 0.2302 0.2302 0.7698
Cl: 0.2302 0.7698 0.2302
Cl: 0.7698 0.2302 0.2302
Cl: 0.7698 0.7698 0.2302
Cl: 0.7698 0.2302 0.7698

Properties
* space-group type: No. 225
* raw formation energy: 614.5 meV/atom

***

# 3
Material: Nd2Er4N
Method: DFT, PBE-GGA
State: relaxed

Cell lengths 4.7516, 4.7516, 9.5347 Å; angles 75.57, 75.57, 90.00 degrees
Sites, in units of the cell vectors:
N: 0.0000 0.0000 0.0000
Nd: 0.6746 0.6746 0.6508
Nd: 0.3254 0.3254 0.3492
Er: 0.8703 0.8703 0.2595
Er: 0.1297 0.1297 0.7405
Er: 0.0000 0.5000 0.0000
Er: 0.5000 0.0000 0.0000

Properties
* space-group type: No. 139
* raw formation energy: -302.3 meV/atom

***

# 4
Material: ErThInHg
Method: DFT, PBE-GGA
State: relaxed

Cell lengths 5.3651, 5.3651, 5.3651 Å; angles 60.00, 60.00, 60.00 degrees
Sites, in units of the cell vectors:
In: 0.2500 0.2500 0.2500
Hg: 0.7500 0.7500 0.7500
Th: 0.0000 0.0000 0.0000
Er: 0.5000 0.5000 0.5000

Properties
* space-group type: No. 216
* ΔE_f: -0.32 eV per atom